First-principles (GGA-PBE) data for a relaxed Ba3OsO crystal, as listed in the Alexandria database.

The value obtained for the uncorrected formation energy is -187.2 kJ/mol of formula units. The calculation puts the calculated total energy at -4.7792 eV/atom. The energy above the lowest structure with this stoichiometry is 0 meV/atom. The crystal system is cubic.

Structure (CIF):
```
data_Ba3OsO
_symmetry_space_group_name_H-M 'P m -3 m'
_symmetry_Int_Tables_number 221
_symmetry_space_group_name_Hall '-P 4 2 3'
_cell_length_a 5.301
_cell_length_b 5.301
_cell_length_c 5.301
_cell_angle_alpha 90.00
_cell_angle_beta 90.00
_cell_angle_gamma 90.00
loop_
_atom_site_label
_atom_site_type_symbol
_atom_site_fract_x
_atom_site_fract_y
_atom_site_fract_z
Ba1 Ba 0.000 0.000 0.500
Os1 Os 0.500 0.500 0.500
O1 O 0.000 0.000 0.000
```

First-principles (GGA-PBE) data for a relaxed FeSbRh2 crystal, as listed in the Alexandria database.

The value obtained for the uncorrected formation energy is -7.3 kJ/mol of formula units. The calculation puts the calculated total energy at -6.8409 eV/atom. The crystal system is tetragonal.

Structure (CIF):
```
data_FeSbRh2
_symmetry_space_group_name_H-M 'P 4 m m'
_symmetry_Int_Tables_number 99
_cell_length_a 3.455
_cell_length_b 3.455
_cell_length_c 5.405
_cell_angle_alpha 90.00
_cell_angle_beta 90.00
_cell_angle_gamma 90.00
loop_
_symmetry_equiv_pos_as_xyz
'x,y,z'
'-y,x,z'
'-x,-y,z'
'y,-x,z'
'-x,y,z'
'y,x,z'
'x,-y,z'
'-y,-x,z'
loop_
_atom_site_label
_atom_site_type_symbol
_atom_site_fract_x
_atom_site_fract_y
_atom_site_fract_z
Fe1 Fe 0.000 0.000 0.000
Sb1 Sb 0.500 0.500 0.682
Rh1 Rh 0.000 0.000 0.480
Rh2 Rh 0.500 0.500 0.169
```

First-principles (GGA-PBE) data for a relaxed TbMgNi crystal, as listed in the Alexandria database.

As for the calculated formation energy: -0.155 eV/atom. The calculation puts the calculated total energy at -4.1571 eV/atom. The crystal system is cubic.

Structure (CIF):
```
data_TbMgNi
_symmetry_space_group_name_H-M 'F -4 3 m'
_symmetry_Int_Tables_number 216
_symmetry_space_group_name_Hall 'F -4 2 3'
_cell_length_a 6.462
_cell_length_b 6.462
_cell_length_c 6.462
_cell_angle_alpha 90.00
_cell_angle_beta 90.00
_cell_angle_gamma 90.00
loop_
_atom_site_label
_atom_site_type_symbol
_atom_site_fract_x
_atom_site_fract_y
_atom_site_fract_z
Tb1 Tb 0.000 0.000 0.000
Mg1 Mg 0.000 0.000 0.500
Ni1 Ni 0.250 0.250 0.750
```

First-principles (GGA-PBE) data for a relaxed HfNiSe2N crystal, as listed in the Alexandria database.

The value obtained for the uncorrected formation energy is 79.2 kJ/mol of formula units. The calculation puts the calculated total energy at -6.0417 eV/atom. The energy above the lowest structure with this stoichiometry is 0 meV/atom. The crystal system is tetragonal.

Structure (CIF):
```
data_HfNiSe2N
_symmetry_space_group_name_H-M 'P 4/m m m'
_symmetry_Int_Tables_number 123
_symmetry_space_group_name_Hall '-P 4 2'
_cell_length_a 4.880
_cell_length_b 4.880
_cell_length_c 3.484
_cell_angle_alpha 90.00
_cell_angle_beta 90.00
_cell_angle_gamma 90.00
loop_
_atom_site_label
_atom_site_type_symbol
_atom_site_fract_x
_atom_site_fract_y
_atom_site_fract_z
Hf1 Hf 0.000 0.000 0.000
Ni1 Ni 0.500 0.500 0.500
Se1 Se 0.000 0.500 0.500
N1 N 0.500 0.500 0.000
```

First-principles (GGA-PBE) data for a relaxed Ac8NiTe3Ir3 crystal, as listed in the Alexandria database.

The value obtained for the uncorrected formation energy is -1335.3 kJ/mol of formula units. The calculation puts the calculated total energy at -5.8998 eV/atom. The crystal system is trigonal.

Structure (CIF):
```
data_Ac8NiTe3Ir3
_symmetry_space_group_name_H-M 'R -3 m'
_symmetry_Int_Tables_number 166
_symmetry_space_group_name_Hall '-R 3 2"'
_cell_length_a 8.7771
_cell_length_b 8.7771
_cell_length_c 24.2109
_cell_angle_alpha 90.00
_cell_angle_beta 90.00
_cell_angle_gamma 120.00
loop_
_atom_site_label
_atom_site_type_symbol
_atom_site_fract_x
_atom_site_fract_y
_atom_site_fract_z
Ac1 Ac 0.0000 0.0000 0.2361
Ac2 Ac 0.0024 0.5012 0.2333
Ni1 Ni 0.0000 0.0000 0.5000
Te1 Te 0.0000 0.5000 0.0000
Ir1 Ir 0.0000 0.5000 0.5000
```

First-principles (GGA-PBE) data for a relaxed AcBiB crystal, as listed in the Alexandria database.

As for the calculated formation energy: -0.169 eV/atom. The calculation puts the calculated total energy at -5.0581 eV/atom. The crystal system is monoclinic.

Structure (CIF):
```
data_AcBiB
_symmetry_space_group_name_H-M 'C 1 2/m 1'
_symmetry_Int_Tables_number 12
_cell_length_a 8.534
_cell_length_b 8.532
_cell_length_c 6.461
_cell_angle_alpha 90.00
_cell_angle_beta 131.17
_cell_angle_gamma 90.00
loop_
_symmetry_equiv_pos_as_xyz
'x,y,z'
'-x,-y,-z'
'-x,y,-z'
'x,-y,z'
'x+1/2,y+1/2,z'
'-x+1/2,-y+1/2,-z'
'-x+1/2,y+1/2,-z'
'x+1/2,-y+1/2,z'
loop_
_atom_site_label
_atom_site_type_symbol
_atom_site_fract_x
_atom_site_fract_y
_atom_site_fract_z
Ac1 Ac 0.250 0.250 0.000
Bi1 Bi 0.190 0.000 0.382
B1 B 0.077 0.500 0.153
```